Entry 1:
DFT (PBE-GGA) results for a relaxed BaPrB crystal.

a b c (Å): 7.018 7.018 7.018
angles (deg): 90.00 90.00 90.00
Fractional positions:
Ba1 0.000 0.000 0.000
Ba2 0.000 0.500 0.500
Ba3 0.500 0.000 0.500
Ba4 0.500 0.500 0.000
Pr1 0.000 0.000 0.500
Pr2 0.000 0.500 0.000
Pr3 0.500 0.000 0.000
Pr4 0.500 0.500 0.500
B1 0.250 0.250 0.250
B2 0.250 0.750 0.750
B3 0.750 0.250 0.750
B4 0.750 0.750 0.250

Output
Size of the total moment, μB/cell: 0.01
SG: F-43m
Offset from the most stable computed form, eV per atom: 0.000
ρ, kg/m3: 5554
E_tot, eV per atom: -3.88

Entry 2:
DFT (PBE-GGA) results for a relaxed BaSmB2Pt8 crystal.

a b c (Å): 5.580 5.580 7.649
angles (deg): 90.00 90.00 120.00
Fractional positions:
Ba1 0.000 0.000 0.000
Sm1 0.000 0.000 0.500
B1 0.333 0.667 0.000
B2 0.667 0.333 0.000
Pt1 0.000 0.500 0.201
Pt2 0.000 0.500 0.799
Pt3 0.333 0.667 0.500
Pt4 0.500 0.000 0.201
Pt5 0.500 0.000 0.799
Pt6 0.500 0.500 0.201
Pt7 0.500 0.500 0.799
Pt8 0.667 0.333 0.500

Output
Size of the total moment, μB/cell: 0.01
SG: P6/mmm
Offset from the most stable computed form, eV per atom: 0.064
ρ, kg/m3: 15056
E_tot, eV per atom: -6.33

Entry 3:
DFT (PBE-GGA) results for a relaxed BaSmB2Pt8 crystal.

a b c (Å): 5.582 5.582 7.651
angles (deg): 90.00 90.00 120.00
Fractional positions:
Ba1 0.000 0.000 0.000
Sm1 0.000 0.000 0.500
B1 0.333 0.667 0.500
B2 0.667 0.333 0.500
Pt1 0.000 0.500 0.304
Pt2 0.000 0.500 0.696
Pt3 0.333 0.667 0.000
Pt4 0.500 0.000 0.304
Pt5 0.500 0.000 0.696
Pt6 0.500 0.500 0.304
Pt7 0.500 0.500 0.696
Pt8 0.667 0.333 0.000

Output
Size of the total moment, μB/cell: 0.01
SG: P6/mmm
Offset from the most stable computed form, eV per atom: 0.000
ρ, kg/m3: 15039
E_tot, eV per atom: -6.39

Entry 4:
DFT (PBE-GGA) results for a relaxed BaSr2B2Pt7 crystal.

a b c (Å): 8.431 8.431 8.431
angles (deg): 39.51 39.51 39.51
Fractional positions:
Ba1 0.000 0.000 0.000
Sr1 0.145 0.145 0.145
Sr2 0.855 0.855 0.855
B1 0.330 0.330 0.330
B2 0.670 0.670 0.670
Pt1 0.069 0.563 0.563
Pt2 0.437 0.437 0.931
Pt3 0.437 0.931 0.437
Pt4 0.500 0.500 0.500
Pt5 0.563 0.069 0.563
Pt6 0.563 0.563 0.069
Pt7 0.931 0.437 0.437

Output
Size of the total moment, μB/cell: 0.01
SG: R-3m
ρ, kg/m3: 12926
E_tot, eV per atom: -5.79

Question: Which of these has the highest E_tot?
Answer: BaPrB

Question: Which value of E_tot does entry 3 give?
Answer: -6.39 eV per atom

Question: The lowest ρ belongs to which entry?
Answer: BaPrB